1.
Nd2MnSb3Pt4, relaxed, DFT PBE-GGA; D(E_F) = 4.9 states/eV per cell; formation energy from raw total energies = -0.781 eV per atom
1.0
4.482 0.000 0.000
0.000 4.482 0.000
0.000 0.000 10.892
Nd Mn Sb Pt
2 1 3 4
direct
0.500 0.000 0.242
0.000 0.500 0.758
0.500 0.500 0.500
0.000 0.000 0.500
0.500 0.000 0.865
0.000 0.500 0.135
0.500 0.500 0.000
0.000 0.000 0.000
0.500 0.000 0.628
0.000 0.500 0.372

---

2.
Ho4Tl3Rh, relaxed, DFT PBE-GGA; D(E_F) = 4.5 states/eV per cell; ΔE_f = -0.480 eV per atom
1.0
-1.427 1.974 -2.573
-0.045 -2.823 -2.141
-14.689 -3.759 5.264
Tl Rh Ho
3 1 4
direct
0.500 0.500 0.238
0.500 0.500 0.500
0.500 0.500 0.762
0.500 0.500 0.000
0.000 0.000 0.899
0.000 0.000 0.101
0.000 0.000 0.368
0.000 0.000 0.632

---

3.
Re2NiRh, relaxed, DFT PBE-GGA; D(E_F) = 5.4 states/eV per cell; ΔE_f = 0.289 eV per atom; E above lowest polymorph = 0.373 eV/atom
1.0
-3.040 -0.465 0.692
-0.381 -1.550 -2.718
1.335 -4.870 2.591
Ni Re Rh
1 2 1
direct
0.500 0.500 0.750
0.000 0.000 0.965
0.000 0.000 0.535
0.500 0.500 0.250

---

4.
SrMgCr2Hg, relaxed, DFT PBE-GGA; D(E_F) = 3.8 states/eV per cell; ΔE_f = 0.876 eV per atom
1.0
5.305 0.000 0.000
0.000 5.899 0.000
0.000 0.000 5.305
Sr Mg Hg Cr
1 1 1 2
direct
0.000 0.500 0.000
0.500 0.500 0.500
0.000 0.000 0.000
0.000 0.000 0.500
0.500 0.000 0.000

---

5.
Tb2NdRh, relaxed, DFT PBE-GGA; D(E_F) = 10.5 states/eV per cell; ΔE_f = -0.457 eV per atom; E above lowest polymorph = 0.030 eV/atom
1.0
-1.436 0.515 -3.508
-1.200 -6.039 1.690
-8.333 2.722 3.810
Tb Nd Rh
4 2 2
direct
0.140 0.280 0.432
0.860 0.720 0.568
0.860 0.720 0.932
0.140 0.280 0.068
0.425 0.850 0.250
0.575 0.150 0.750
0.740 0.479 0.250
0.260 0.521 0.750

---

6.
PaMnSn, relaxed, DFT PBE-GGA; D(E_F) = 4.8 states/eV per cell; ΔE_f = -0.299 eV per atom
1.0
6.235 0.000 -0.059
0.000 6.015 0.000
-0.297 0.000 6.894
Pa Mn Sn
4 4 4
direct
0.791 0.639 0.384
0.209 0.361 0.616
0.291 0.861 0.884
0.709 0.139 0.116
0.964 0.150 0.346
0.464 0.350 0.846
0.036 0.850 0.654
0.536 0.650 0.154
0.805 0.623 0.880
0.195 0.377 0.120
0.695 0.123 0.620
0.305 0.877 0.380

---

Q: Which of these has the lowest D(E_F)?
A: SrMgCr2Hg